1.
Here is a geometry-optimized VInHgCl6 structure from Alexandria. Energies are from PBE-GGA.

It has space group P312 (No. 149), with a = 6.4035 Å, b = 6.4035 Å, c = 9.1645 Å, α = 90.00°, β = 90.00° and γ = 120.00°. Symmetry generates all atoms from V at (0.0000, 0.0000, 0.0000), In at (0.6667, 0.3333, 0.0000), Hg at (0.3333, 0.6667, 0.5000) and Cl at (0.3129, 0.0202, 0.8474).

Its crystal system is trigonal. For the uncorrected formation energy, the calculation gives -1.01 eV/atom. Its calculated volume is 36.16 A^3/atom. Its theoretical density is 3.0 g/cm3. Its uncorrected energy is -3.591 eV per atom.


2.
Here is a geometry-optimized CsInTe2O8 structure from Alexandria. Energies are from PBE-GGA.

It has space group P-3 (No. 147), with a = 5.4820 Å, b = 5.4820 Å, c = 9.5470 Å, α = 90.00°, β = 90.00° and γ = 120.00°. Symmetry generates all atoms from Cs at (0.0000, 0.0000, 0.0000), In at (0.0000, 0.0000, 0.5000), Te at (0.3333, 0.6667, 0.6982), O at (0.0301, 0.3294, 0.6375) and O at (0.3333, 0.6667, 0.8891).

Its crystal system is trigonal. For the uncorrected formation energy, the calculation gives -1.13 eV/atom. Its calculated volume is 20.71 A^3/atom. Its theoretical density is 4.2 g/cm3. Its uncorrected energy is -5.258 eV per atom.


3.
Here is a geometry-optimized HfV5Fe2 structure from Alexandria. Energies are from PBE-GGA.

It has space group Immm (No. 71), with a = 4.023 Å, b = 6.673 Å, c = 8.634 Å, α = 90.00°, β = 90.00° and γ = 90.00°. Symmetry generates all atoms from Hf at (0.000, 0.000, 0.000), V at (0.000, 0.191, 0.348), V at (0.000, 0.500, 0.000) and Fe at (0.000, 0.500, 0.266).

Its crystal system is orthorhombic. Its calculated volume is 14.49 A^3/atom. Its theoretical density is 7.8 g/cm3. Its uncorrected energy is -8.969 eV per atom.


4.
Here is a geometry-optimized KRbNaTl structure from Alexandria. Energies are from PBE-GGA.

It has space group Pmm2 (No. 25), with a = 4.094 Å, b = 4.583 Å, c = 10.816 Å, α = 90.00°, β = 90.00° and γ = 90.00°. Symmetry generates all atoms from K at (0.000, 0.000, 0.000), Rb at (0.000, 0.500, 0.623), Na at (0.000, 0.000, 0.332) and Tl at (0.500, 0.500, 0.219).

Its crystal system is orthorhombic. Its calculated volume is 50.73 A^3/atom. Its theoretical density is 2.9 g/cm3. Its uncorrected energy is -1.428 eV per atom.